1.
DFT (PBE-GGA) results for a relaxed structure of NdPuBiTe.

Energy above the most stable polymorph in this dataset: 0.0 meV per atom
Raw total energy: -7.51 eV per atom
Crystal system: trigonal
Formation energy (no corrections): -0.9794 eV per atom
N(E_F): 3.26 states/eV per atom

```
data_NdPuBiTe
_cell_length_a 4.5361
_cell_length_b 4.5361
_cell_length_c 22.1082
_cell_angle_alpha 90.00
_cell_angle_beta 90.00
_cell_angle_gamma 120.00
_symmetry_space_group_name_H-M 'R 3 m'
_symmetry_Int_Tables_number 160
_symmetry_space_group_name_Hall 'R 3 -2"'
loop_
_atom_site_label
_atom_site_fract_x
_atom_site_fract_y
_atom_site_fract_z
_atom_site_occupancy
Nd1 0.0000 0.0000 0.0000 1
Pu1 0.0000 0.0000 0.4987 1
Bi1 0.0000 0.0000 0.2483 1
Te1 0.0000 0.0000 0.7518 1
```



2.
DFT (PBE-GGA) results for a relaxed structure of Ac2SmCuO6.

Raw total energy: -7.17 eV per atom
Crystal system: orthorhombic
Formation energy (no corrections): -2.4967 eV per atom

```
data_Ac2SmCuO6
_cell_length_a 5.3452
_cell_length_b 9.8205
_cell_length_c 6.2536
_cell_angle_alpha 90.00
_cell_angle_beta 90.00
_cell_angle_gamma 90.00
_symmetry_space_group_name_H-M 'P m m n'
_symmetry_Int_Tables_number 59
loop_
_symmetry_equiv_pos_as_xyz
'x,y,z'
'-x,-y,-z'
'-x+1/2,-y+1/2,z'
'x+1/2,y+1/2,-z'
'x+1/2,-y,-z'
'-x+1/2,y,z'
'-x,y+1/2,-z'
'x,-y+1/2,z'
loop_
_atom_site_label
_atom_site_fract_x
_atom_site_fract_y
_atom_site_fract_z
_atom_site_occupancy
Ac1 0.2500 0.0572 0.2068 1
Sm1 0.2500 0.2500 0.7281 1
Cu1 0.2500 0.7500 0.7640 1
O1 0.0007 0.7500 0.5621 1
O2 0.0021 0.7500 0.9694 1
O3 0.2500 0.0212 0.8171 1
```